Entry 1
## TmTlMo (PBE)

Data for crystalline TmTlMo at its relaxed geometry.

a = 4.764 Å, b = 4.764 Å, c = 4.764 Å
α = 60.00°, β = 60.00°, γ = 60.00°
Fractional coordinates of all 3 atoms:
Mo: 0.250 0.250 0.250
Tl: 0.000 0.000 0.000
Tm: 0.750 0.750 0.750

Entry 2
## TmTlMo (PBE)

Data for crystalline TmTlMo at its relaxed geometry.

a = 4.889 Å, b = 4.889 Å, c = 4.889 Å
α = 60.00°, β = 60.00°, γ = 60.00°
Fractional coordinates of all 3 atoms:
Mo: 0.250 0.250 0.250
Tl: 0.750 0.750 0.750
Tm: 0.000 0.000 0.000

Bottom line: entry 1, by a margin of 336 meV/atom.

Entry 1
## YTlMo (PBE)

Data for crystalline YTlMo at its relaxed geometry.

a = 4.953 Å, b = 4.953 Å, c = 4.953 Å
α = 60.00°, β = 60.00°, γ = 60.00°
Fractional coordinates of all 3 atoms:
Mo: 0.250 0.250 0.250
Tl: 0.750 0.750 0.750
Y: 0.000 0.000 0.000

Entry 2
## YTlMo (PBE)

Data for crystalline YTlMo at its relaxed geometry.

a = 4.810 Å, b = 4.810 Å, c = 4.810 Å
α = 60.00°, β = 60.00°, γ = 60.00°
Fractional coordinates of all 3 atoms:
Mo: 0.250 0.250 0.250
Tl: 0.000 0.000 0.000
Y: 0.750 0.750 0.750

Bottom line: entry 2, by a margin of 360 meV/atom.

Entry 1
## TmZnMo (PBE)

Data for crystalline TmZnMo at its relaxed geometry.

a = 4.657 Å, b = 4.657 Å, c = 4.657 Å
α = 60.00°, β = 60.00°, γ = 60.00°
Fractional coordinates of all 3 atoms:
Mo: 0.250 0.250 0.250
Tm: 0.000 0.000 0.000
Zn: 0.750 0.750 0.750

Entry 2
## TmZnMo (PBE)

Data for crystalline TmZnMo at its relaxed geometry.

a = 4.461 Å, b = 4.461 Å, c = 4.461 Å
α = 60.00°, β = 60.00°, γ = 60.00°
Fractional coordinates of all 3 atoms:
Mo: 0.250 0.250 0.250
Tm: 0.750 0.750 0.750
Zn: 0.000 0.000 0.000

Bottom line: entry 2, by a margin of 547 meV/atom.